(1)
DFT (meta-GGA SCAN) results for La2S2O at its PBEsol-relaxed geometry.

Values from the calculation:
Total energy = -25.36 eV/atom
Raw formation energy = -3.016 eV/atom
Crystal system = monoclinic
Fermi-level density of states = 0.0000 states/eV/atom

a = 8.5858 Å, b = 7.2541 Å, c = 7.0931 Å
α = 90.00°, β = 97.85°, γ = 90.00°
Last column: nearest neighbours and their distance in Å.
Element x y z (fractional)
La: 0.0847 0.1274 0.3076  3 O 2.38-2.43
La: 0.0847 0.3726 0.8076  3 O 2.38-2.43
La: 0.3611 0.5568 0.2475  1 O 2.36
La: 0.3611 0.9432 0.7475  1 O 2.36
La: 0.6389 0.0568 0.2525  1 O 2.36
La: 0.6389 0.4432 0.7525  1 O 2.36
La: 0.9153 0.6274 0.1924  3 O 2.38-2.43
La: 0.9153 0.8726 0.6924  3 O 2.38-2.43
S: 0.1704 0.6557 0.5497  5 La 2.89-3.12
S: 0.1704 0.8443 0.0497  5 La 2.89-3.12
S: 0.4208 0.2279 0.4748  5 La 2.89-3.05, 1 O 3.20
S: 0.4208 0.2721 0.9748  5 La 2.89-3.05, 1 O 3.20
S: 0.5792 0.7279 0.0252  5 La 2.89-3.05, 1 O 3.20
S: 0.5792 0.7721 0.5252  5 La 2.89-3.05, 1 O 3.20
S: 0.8296 0.1557 0.9503  5 La 2.89-3.12
S: 0.8296 0.3443 0.4503  5 La 2.89-3.12
O: 0.1171 0.0884 0.6504  4 La 2.36-2.43
O: 0.1171 0.4116 0.1504  4 La 2.36-2.43
O: 0.8829 0.5884 0.8496  4 La 2.36-2.43
O: 0.8829 0.9116 0.3496  4 La 2.36-2.43

=====

(2)
DFT (meta-GGA SCAN) results for LaSO3 at its PBEsol-relaxed geometry.

Values from the calculation:
Total energy = -14.93 eV/atom
Raw formation energy = -0.645 eV/atom
Crystal system = cubic
Fermi-level density of states = 0.5343 states/eV/atom

a = 4.5285 Å, b = 4.5285 Å, c = 4.5285 Å
α = 90.00°, β = 90.00°, γ = 90.00°
Last column: nearest neighbours and their distance in Å.
Element x y z (fractional)
La: 0.0000 0.0000 0.0000  6 O 2.26
S: 0.5000 0.5000 0.5000  12 O 3.20
O: 0.0000 0.0000 0.5000  2 La 2.26
O: 0.0000 0.5000 0.0000  2 La 2.26
O: 0.5000 0.0000 0.0000  2 La 2.26

=====

(3)
DFT (meta-GGA SCAN) results for LaSO2 at its PBEsol-relaxed geometry.

Values from the calculation:
Total energy = -17.84 eV/atom
Raw formation energy = -1.537 eV/atom
Crystal system = tetragonal
Fermi-level density of states = 0.3794 states/eV/atom

a = 7.6349 Å, b = 7.6349 Å, c = 7.6349 Å
α = 147.49°, β = 147.49°, γ = 46.65°
Last column: nearest neighbours and their distance in Å.
Element x y z (fractional)
La: 0.0000 0.0000 0.0000  4 O 2.38
La: 0.7500 0.2500 0.5000  4 O 2.38
S: 0.2500 0.7500 0.5000  4 O 2.26
S: 0.5000 0.5000 0.0000  4 O 2.26
O: 0.1549 0.6250 0.0299  2 S 2.26, 2 La 2.38
O: 0.3750 0.4049 0.5299  2 S 2.26, 2 La 2.38
O: 0.5951 0.1250 0.9701  2 S 2.26, 2 La 2.38
O: 0.8750 0.8451 0.4701  2 S 2.26, 2 La 2.38

=====

(4)
DFT (meta-GGA SCAN) results for La2S2O at its PBEsol-relaxed geometry.

Values from the calculation:
Total energy = -25.35 eV/atom
Raw formation energy = -3.007 eV/atom
Crystal system = orthorhombic
Fermi-level density of states = 0.0000 states/eV/atom

a = 15.6175 Å, b = 4.0485 Å, c = 7.0335 Å
α = 90.00°, β = 90.00°, γ = 90.00°
Last column: nearest neighbours and their distance in Å.
Element x y z (fractional)
La: 0.0379 0.2500 0.2102  3 O 2.37-2.43
La: 0.1762 0.2500 0.7613  1 O 2.34
La: 0.3238 0.7500 0.2613  1 O 2.34
La: 0.4621 0.7500 0.7102  3 O 2.37-2.43
La: 0.5379 0.2500 0.2898  3 O 2.37-2.43
La: 0.6762 0.2500 0.7387  1 O 2.34
La: 0.8238 0.7500 0.2387  1 O 2.34
La: 0.9621 0.7500 0.7898  3 O 2.37-2.43
S: 0.1105 0.7500 0.5109  5 La 2.87-3.14
S: 0.1706 0.7500 0.0419  5 La 2.83-3.13
S: 0.3294 0.2500 0.5419  5 La 2.83-3.13
S: 0.3895 0.2500 0.0109  5 La 2.87-3.14
S: 0.6105 0.7500 0.9891  5 La 2.87-3.14
S: 0.6706 0.7500 0.4581  5 La 2.83-3.13
S: 0.8294 0.2500 0.9581  5 La 2.83-3.13
S: 0.8895 0.2500 0.4891  5 La 2.87-3.14
O: 0.0336 0.2500 0.8642  4 La 2.34-2.43
O: 0.4664 0.7500 0.3642  4 La 2.34-2.43
O: 0.5336 0.2500 0.6358  4 La 2.34-2.43
O: 0.9664 0.7500 0.1358  4 La 2.34-2.43